Material: YZnNi2O
Method: DFT, GGA+U
State: relaxed

a b c (Å): 4.0236 4.0236 4.5073
angles (deg): 90.00 90.00 90.00
Sites, in units of the cell vectors:
Y: 0.0000 0.0000 0.0000
Zn: 0.5000 0.5000 0.0000
Ni: 0.0000 0.5000 0.5000
Ni: 0.5000 0.0000 0.5000
O: 0.0000 0.0000 0.5000

The calculation puts the density of states at the Fermi level at 2.26 states/eV per cell. Its total energy is -3.7265 eV/atom. The theoretical density comes out at 6.55 g cm⁻³.